1 | # TbHoTh2, relaxed, DFT PBE-GGA
data_TbHoTh2
_chemical_formula_sum 'Tb1 Ho1 Th2'
_symmetry_space_group_name_H-M 'P 1'
_symmetry_Int_Tables_number 1
_symmetry_space_group_name_Hall 'P 1'
_cell_length_a 3.554
_cell_length_b 3.554
_cell_length_c 10.113
_cell_angle_alpha 90.00
_cell_angle_beta 90.00
_cell_angle_gamma 90.00
loop_
_atom_site_label
_atom_site_type_symbol
_atom_site_fract_x
_atom_site_fract_y
_atom_site_fract_z
Tb1 Tb 0.000 0.000 0.000
Ho1 Ho 0.000 0.000 0.500
Th1 Th 0.500 0.500 0.251
Th2 Th 0.500 0.500 0.749
# calculated volume: 31.9 Å³/atom
# crystal system: tetragonal
# symmetry: No. 123

=====

2 | # TbHoTh2, relaxed, DFT PBE-GGA
data_TbHoTh2
_chemical_formula_sum 'Tb2 Ho2 Th4'
_symmetry_space_group_name_H-M 'P 1'
_symmetry_Int_Tables_number 1
_symmetry_space_group_name_Hall 'P 1'
_cell_length_a 9.824
_cell_length_b 9.824
_cell_length_c 3.542
_cell_angle_alpha 93.92
_cell_angle_beta 93.92
_cell_angle_gamma 126.49
loop_
_atom_site_label
_atom_site_type_symbol
_atom_site_fract_x
_atom_site_fract_y
_atom_site_fract_z
Tb1 Tb 0.000 0.500 0.000
Tb2 Tb 0.500 0.000 0.500
Ho1 Ho 0.087 0.913 0.250
Ho2 Ho 0.913 0.087 0.750
Th1 Th 0.255 0.422 0.457
Th2 Th 0.422 0.255 0.957
Th3 Th 0.578 0.745 0.043
Th4 Th 0.745 0.578 0.543
# calculated volume: 34.0 Å³/atom
# crystal system: monoclinic
# symmetry: No. 15

=====

Of them, 1 has the highest stability.

=====

1 | # Tb6Ho2Th, relaxed, DFT PBE-GGA
data_Tb6Ho2Th
_chemical_formula_sum 'Tb6 Ho2 Th1'
_symmetry_space_group_name_H-M 'P 1'
_symmetry_Int_Tables_number 1
_symmetry_space_group_name_Hall 'P 1'
_cell_length_a 7.733
_cell_length_b 7.733
_cell_length_c 7.733
_cell_angle_alpha 57.01
_cell_angle_beta 57.01
_cell_angle_gamma 57.01
loop_
_atom_site_label
_atom_site_type_symbol
_atom_site_fract_x
_atom_site_fract_y
_atom_site_fract_z
Tb1 Tb 0.173 0.173 0.654
Tb2 Tb 0.173 0.654 0.173
Tb3 Tb 0.391 0.391 0.819
Tb4 Tb 0.391 0.819 0.391
Tb5 Tb 0.654 0.173 0.173
Tb6 Tb 0.819 0.391 0.391
Ho1 Ho 0.682 0.682 0.682
Ho2 Ho 0.856 0.856 0.856
Th1 Th 0.118 0.118 0.118
# calculated volume: 33.8 Å³/atom
# crystal system: trigonal
# symmetry: No. 160

=====

2 | # Tb6Ho2Th, relaxed, DFT PBE-GGA
data_Tb6Ho2Th
_chemical_formula_sum 'Tb6 Ho2 Th1'
_symmetry_space_group_name_H-M 'P 1'
_symmetry_Int_Tables_number 1
_symmetry_space_group_name_Hall 'P 1'
_cell_length_a 3.569
_cell_length_b 3.569
_cell_length_c 26.319
_cell_angle_alpha 90.00
_cell_angle_beta 90.00
_cell_angle_gamma 120.00
loop_
_atom_site_label
_atom_site_type_symbol
_atom_site_fract_x
_atom_site_fract_y
_atom_site_fract_z
Tb1 Tb 0.000 0.000 0.066
Tb2 Tb 0.000 0.000 0.280
Tb3 Tb 0.000 0.000 0.720
Tb4 Tb 0.000 0.000 0.934
Tb5 Tb 0.333 0.667 0.389
Tb6 Tb 0.333 0.667 0.611
Ho1 Ho 0.333 0.667 0.171
Ho2 Ho 0.333 0.667 0.829
Th1 Th 0.000 0.000 0.500
# calculated volume: 32.3 Å³/atom
# crystal system: hexagonal
# symmetry: No. 187

=====

Of them, 2 has the highest stability.

=====

1 | # Tb3Ho2Th, relaxed, DFT PBE-GGA
data_Tb3Ho2Th
_chemical_formula_sum 'Tb6 Ho4 Th2'
_symmetry_space_group_name_H-M 'P 1'
_symmetry_Int_Tables_number 1
_symmetry_space_group_name_Hall 'P 1'
_cell_length_a 7.740
_cell_length_b 7.740
_cell_length_c 6.822
_cell_angle_alpha 90.00
_cell_angle_beta 90.00
_cell_angle_gamma 104.98
loop_
_atom_site_label
_atom_site_type_symbol
_atom_site_fract_x
_atom_site_fract_y
_atom_site_fract_z
Tb1 Tb 0.145 0.855 0.500
Tb2 Tb 0.208 0.452 0.252
Tb3 Tb 0.452 0.208 0.752
Tb4 Tb 0.548 0.792 0.252
Tb5 Tb 0.792 0.548 0.752
Tb6 Tb 0.855 0.145 0.000
Ho1 Ho 0.183 0.474 0.750
Ho2 Ho 0.474 0.183 0.250
Ho3 Ho 0.526 0.817 0.750
Ho4 Ho 0.817 0.526 0.250
Th1 Th 0.148 0.852 0.002
Th2 Th 0.852 0.148 0.502
# calculated volume: 32.9 Å³/atom
# crystal system: orthorhombic
# symmetry: No. 36

=====

2 | # Tb3Ho2Th, relaxed, DFT PBE-GGA
data_Tb3Ho2Th
_chemical_formula_sum 'Tb6 Ho4 Th2'
_symmetry_space_group_name_H-M 'P 1'
_symmetry_Int_Tables_number 1
_symmetry_space_group_name_Hall 'P 1'
_cell_length_a 8.832
_cell_length_b 8.832
_cell_length_c 8.832
_cell_angle_alpha 102.51
_cell_angle_beta 94.36
_cell_angle_gamma 135.02
loop_
_atom_site_label
_atom_site_type_symbol
_atom_site_fract_x
_atom_site_fract_y
_atom_site_fract_z
Tb1 Tb 0.017 0.750 0.267
Tb2 Tb 0.250 0.250 0.000
Tb3 Tb 0.483 0.750 0.733
Tb4 Tb 0.517 0.250 0.267
Tb5 Tb 0.750 0.750 0.000
Tb6 Tb 0.983 0.250 0.733
Ho1 Ho 0.184 0.242 0.426
Ho2 Ho 0.316 0.742 0.058
Ho3 Ho 0.684 0.258 0.942
Ho4 Ho 0.816 0.758 0.574
Th1 Th 0.000 0.500 0.500
Th2 Th 0.500 0.000 0.500
# calculated volume: 37.4 Å³/atom
# crystal system: orthorhombic
# symmetry: No. 72

=====

Of them, 1 has the highest stability.

=====

1 | # Tb7Ho4Th, relaxed, DFT PBE-GGA
data_Tb7Ho4Th
_chemical_formula_sum 'Tb7 Ho4 Th1'
_symmetry_space_group_name_H-M 'P 1'
_symmetry_Int_Tables_number 1
_symmetry_space_group_name_Hall 'P 1'
_cell_length_a 6.197
_cell_length_b 7.165
_cell_length_c 8.841
_cell_angle_alpha 89.98
_cell_angle_beta 76.27
_cell_angle_gamma 89.97
loop_
_atom_site_label
_atom_site_type_symbol
_atom_site_fract_x
_atom_site_fract_y
_atom_site_fract_z
Tb1 Tb 0.000 0.000 0.000
Tb2 Tb 0.219 0.500 0.331
Tb3 Tb 0.276 0.251 0.668
Tb4 Tb 0.500 0.254 0.000
Tb5 Tb 0.500 0.746 0.000
Tb6 Tb 0.724 0.749 0.332
Tb7 Tb 0.781 0.500 0.669
Ho1 Ho 0.221 0.000 0.337
Ho2 Ho 0.276 0.749 0.668
Ho3 Ho 0.724 0.251 0.332
Ho4 Ho 0.779 0.000 0.663
Th1 Th 0.000 0.500 0.000
# calculated volume: 31.8 Å³/atom
# crystal system: triclinic
# symmetry: No. 2

=====

2 | # Tb7Ho4Th, relaxed, DFT PBE-GGA
data_Tb7Ho4Th
_chemical_formula_sum 'Tb7 Ho4 Th1'
_symmetry_space_group_name_H-M 'P 1'
_symmetry_Int_Tables_number 1
_symmetry_space_group_name_Hall 'P 1'
_cell_length_a 6.713
_cell_length_b 6.713
_cell_length_c 12.624
_cell_angle_alpha 115.27
_cell_angle_beta 115.27
_cell_angle_gamma 52.36
loop_
_atom_site_label
_atom_site_type_symbol
_atom_site_fract_x
_atom_site_fract_y
_atom_site_fract_z
Tb1 Tb 0.000 0.000 0.000
Tb2 Tb 0.209 0.209 0.922
Tb3 Tb 0.236 0.236 0.676
Tb4 Tb 0.369 0.369 0.502
Tb5 Tb 0.631 0.631 0.498
Tb6 Tb 0.764 0.764 0.324
Tb7 Tb 0.791 0.791 0.078
Ho1 Ho 0.066 0.066 0.318
Ho2 Ho 0.361 0.361 0.224
Ho3 Ho 0.639 0.639 0.776
Ho4 Ho 0.934 0.934 0.682
Th1 Th 0.500 0.500 0.000
# calculated volume: 33.0 Å³/atom
# crystal system: monoclinic
# symmetry: No. 12

=====

Of them, 1 has the highest stability.

=====

1 | # Tb4Ho3Th, relaxed, DFT PBE-GGA
data_Tb4Ho3Th
_chemical_formula_sum 'Tb8 Ho6 Th2'
_symmetry_space_group_name_H-M 'P 1'
_symmetry_Int_Tables_number 1
_symmetry_space_group_name_Hall 'P 1'
_cell_length_a 11.364
_cell_length_b 7.234
_cell_length_c 6.246
_cell_angle_alpha 90.00
_cell_angle_beta 90.00
_cell_angle_gamma 90.00
loop_
_atom_site_label
_atom_site_type_symbol
_atom_site_fract_x
_atom_site_fract_y
_atom_site_fract_z
Tb1 Tb 0.000 0.127 0.000
Tb2 Tb 0.000 0.870 0.503
Tb3 Tb 0.250 0.127 0.343
Tb4 Tb 0.250 0.873 0.843
Tb5 Tb 0.500 0.130 0.003
Tb6 Tb 0.500 0.873 0.500
Tb7 Tb 0.750 0.127 0.343
Tb8 Tb 0.750 0.873 0.843
Ho1 Ho 0.000 0.379 0.503
Ho2 Ho 0.249 0.379 0.832
Ho3 Ho 0.251 0.621 0.332
Ho4 Ho 0.500 0.621 0.003
Ho5 Ho 0.749 0.621 0.332
Ho6 Ho 0.751 0.379 0.832
Th1 Th 0.000 0.623 0.004
Th2 Th 0.500 0.377 0.504
# calculated volume: 32.1 Å³/atom
# crystal system: orthorhombic
# symmetry: No. 31

=====

2 | # Tb4Ho3Th, relaxed, DFT PBE-GGA
data_Tb4Ho3Th
_chemical_formula_sum 'Tb4 Ho3 Th1'
_symmetry_space_group_name_H-M 'P 1'
_symmetry_Int_Tables_number 1
_symmetry_space_group_name_Hall 'P 1'
_cell_length_a 11.762
_cell_length_b 11.762
_cell_length_c 6.728
_cell_angle_alpha 106.58
_cell_angle_beta 106.58
_cell_angle_gamma 16.86
loop_
_atom_site_label
_atom_site_type_symbol
_atom_site_fract_x
_atom_site_fract_y
_atom_site_fract_z
Tb1 Tb 0.124 0.124 0.364
Tb2 Tb 0.259 0.259 0.761
Tb3 Tb 0.741 0.741 0.239
Tb4 Tb 0.876 0.876 0.636
Ho1 Ho 0.000 0.000 0.500
Ho2 Ho 0.124 0.124 0.884
Ho3 Ho 0.876 0.876 0.116
Th1 Th 0.500 0.500 0.000
# calculated volume: 32.3 Å³/atom
# crystal system: monoclinic
# symmetry: No. 12

=====

Of them, 1 has the highest stability.